1.
DFT (PBE) results for a relaxed Tb5Dy2Ir4 crystal.

```
11
Lattice="-2.0757 -0.2412 -3.0907 7.1059 -5.9416 -4.3084 -1.5228 -7.3096 3.8450" Properties=species:S:1:pos:R:3 pbc="T T T"
Tb 1.6191 -2.5565 -0.8878
Ir 3.8764 -5.5073 -4.4253
Dy -0.2937 -5.1929 0.6025
Ir -0.3690 -7.9851 0.8711
Tb 3.1519 -5.6702 -1.6742
Tb 1.8883 -10.9359 -2.6664
Dy 3.8010 -8.2995 -4.1567
Tb -1.0378 -0.1206 -1.5454
Tb 0.3555 -7.8223 -1.8800
Ir 3.1709 -8.5884 -1.4592
Ir 0.3365 -4.9040 -2.0950
```

Properties
calculated volume = 27.85 Å³ per atom
E_tot = -73.3 eV for the cell shown
formation enthalpy at 0 K = -531 kJ/mol of formula units

=====

2.
DFT (PBE) results for a relaxed Tb2DyIr crystal.

```
4
Lattice="3.7449 0.0000 0.0000 1.8725 3.2432 0.0000 1.8725 1.0811 10.5172" Properties=species:S:1:pos:R:3 pbc="T T T"
Dy 0.0000 0.0000 0.0000
Ir 3.7449 2.1621 5.2586
Tb 1.8725 1.0811 6.9544
Tb 5.6174 3.2432 3.5628
```

Properties
calculated volume = 31.93 Å³ per atom
relative energy among the computed polymorphs = 458 meV per atom
E_tot = -23.2 eV for the cell shown
formation enthalpy at 0 K = -43 kJ/mol of formula units

=====

3.
DFT (PBE) results for a relaxed TbDy4Ir4 crystal.

```
18
Lattice="-4.0765 -2.8526 2.6944 -1.2762 -4.9882 -7.2121 6.0114 -5.8037 2.9505" Properties=species:S:1:pos:R:3 pbc="T T T"
Tb 0.3293 -6.8223 -0.7836
Dy 3.4834 -8.0250 1.3828
Dy 0.5962 -10.2620 0.5874
Dy -1.9106 -4.9799 -3.5542
Dy 2.8573 -4.6010 0.7840
Tb 0.0000 0.0000 0.0000
Ir 2.7809 -8.8543 -3.8370
Ir -3.7597 -6.8969 -2.4379
Ir 2.2836 -8.7600 -1.2082
Ir 1.0418 -2.5762 0.1785
Dy -0.6472 -4.0794 1.9751
Ir 1.2543 -8.9618 2.9620
Ir 1.0098 -6.5168 1.8992
Dy 0.9638 -6.8306 -4.4415
Dy 0.3918 -10.2049 -2.9382
Ir -0.7125 -4.2461 -0.9621
Dy -3.1000 -5.5956 -0.0644
Ir -1.2636 -7.7663 -2.8634
```

Properties
calculated volume = 24.68 Å³ per atom
E_tot = -128.6 eV for the cell shown
formation enthalpy at 0 K = -563 kJ/mol of formula units

=====

4.
DFT (PBE) results for a relaxed TbDy2Ir crystal.

```
4
Lattice="3.7404 0.0000 0.0000 1.8702 3.2393 0.0000 1.8702 1.0798 10.5087" Properties=species:S:1:pos:R:3 pbc="T T T"
Dy 5.6107 3.2393 3.5756
Dy 1.8702 1.0798 6.9331
Ir 3.7404 2.1595 5.2544
Tb 0.0000 0.0000 0.0000
```

Properties
calculated volume = 31.83 Å³ per atom
relative energy among the computed polymorphs = 448 meV per atom
E_tot = -23.2 eV for the cell shown
formation enthalpy at 0 K = -49 kJ/mol of formula units

=====

5.
DFT (PBE) results for a relaxed Tb3Dy4Ir4 crystal.

```
11
Lattice="-1.8004 -2.1764 -2.6052 1.8255 -7.0671 4.6422 -6.8602 5.4867 2.9910" Properties=species:S:1:pos:R:3 pbc="T T T"
Ir -0.5089 -2.6028 -0.3077
Tb -1.3749 0.1737 0.8050
Dy -4.2127 -0.7673 3.5522
Ir -4.3311 -0.6548 0.7063
Tb -5.4602 -3.9305 4.2230
Tb 0.9128 -3.5336 2.3211
Dy -2.6223 -2.9895 1.4758
Ir -2.5040 -3.1020 4.3217
Dy -1.9283 -5.6760 3.2405
Ir 0.5341 -6.6407 2.3447
Dy -4.9067 1.9192 1.7876
```

Properties
calculated volume = 24.12 Å³ per atom
E_tot = -75.1 eV for the cell shown
formation enthalpy at 0 K = -706 kJ/mol of formula units

=====

6.
DFT (PBE) results for a relaxed Tb2DyIr9 crystal.

```
12
Lattice="-4.9711 -1.2364 -1.4017 -0.8695 -3.6576 -3.7512 -2.1229 -7.9081 4.4433" Properties=species:S:1:pos:R:3 pbc="T T T"
Ir -2.9665 -3.9914 -1.0655
Ir -4.9971 -8.8107 0.3559
Ir -5.4446 -4.6078 -1.7643
Tb -2.0494 -5.2869 1.8705
Ir -3.9818 -6.4011 -0.3548
Ir -1.9472 -1.6433 -1.7059
Ir -4.5636 -6.9874 2.2259
Tb -5.9142 -7.5152 -2.5801
Ir -6.0164 -11.1588 0.9963
Dy 0.0000 0.0000 0.0000
Ir -3.4000 -5.8147 -2.9355
Ir -2.5190 -8.1943 1.0546
```

Properties
calculated volume = 17.91 Å³ per atom
E_tot = -100.6 eV for the cell shown
formation enthalpy at 0 K = -672 kJ/mol of formula units

=====

7.
DFT (PBE) results for a relaxed TbDyIr4 crystal.

```
6
Lattice="-4.2504 -2.1681 2.4521 0.0554 -0.7359 5.3136 -3.1059 3.0251 3.1594" Properties=species:S:1:pos:R:3 pbc="T T T"
Dy -1.8252 0.0303 2.7313
Ir -4.5628 0.0756 6.8280
Tb 0.0000 0.0000 0.0000
Ir -2.4380 1.1595 5.6021
Ir -4.5905 0.4435 4.1716
Ir -3.0102 -1.4366 5.2485
```

Properties
calculated volume = 18.19 Å³ per atom
E_tot = -49.5 eV for the cell shown
formation enthalpy at 0 K = -467 kJ/mol of formula units

=====

8.
DFT (PBE) results for a relaxed Tb5DyIr4 crystal.

```
10
Lattice="-2.0383 -1.7984 3.2765 4.9894 -5.4460 0.1146 3.1569 8.0061 3.5925" Properties=species:S:1:pos:R:3 pbc="T T T"
Tb 1.4755 -3.6222 1.6956
Ir 0.8302 0.8517 3.7498
Ir 2.3907 4.8190 6.8981
Tb 5.3096 -2.6732 1.8358
Tb 3.3658 0.6342 5.2077
Ir 5.2778 -0.0900 3.2338
Tb 2.7422 0.1275 1.7759
Dy -1.0191 -0.8992 1.6383
Ir 3.7174 -4.0573 0.0855
Tb 0.7984 3.4349 5.1479
```

Properties
calculated volume = 26.05 Å³ per atom
E_tot = -69.7 eV for the cell shown
formation enthalpy at 0 K = -627 kJ/mol of formula units